# 1
! KSrBi2 | Alexandria via LeMat-Bulk | GGA-PBEsol | relaxed; values from VASP
&SYSTEM
  ibrav = 0, nat = 8, ntyp = 3
/
ATOMIC_SPECIES
K 39.10 K.upf
Sr 87.62 Sr.upf
Bi 208.98 Bi.upf
ATOMIC_POSITIONS crystal
K 0.0000 0.0000 0.0000
K 0.7500 0.2500 0.5000
Sr 0.2500 0.7500 0.5000
Sr 0.5000 0.5000 0.0000
Bi 0.1293 0.6250 0.0043
Bi 0.3750 0.3793 0.5043
Bi 0.6207 0.1250 0.9957
Bi 0.8750 0.8707 0.4957
CELL_PARAMETERS angstrom
-4.6377 4.6377 3.3478
4.6377 -4.6377 3.3478
4.6377 4.6377 -3.3478
! Energy relative to the elements in meV per atom: -281.4
! Space group: I-42d
! Calculated density in Mg/m³: 6.3
! Energy relative to the lowest polymorph listed for this composition in meV/atom: 178

# 2
! KTaBi2 | Alexandria via LeMat-Bulk | GGA-PBEsol | relaxed; values from VASP
&SYSTEM
  ibrav = 0, nat = 8, ntyp = 3
/
ATOMIC_SPECIES
K 39.10 K.upf
Ta 180.95 Ta.upf
Bi 208.98 Bi.upf
ATOMIC_POSITIONS crystal
K 0.0000 0.0000 0.0000
K 0.7500 0.2500 0.5000
Ta 0.2500 0.7500 0.5000
Ta 0.5000 0.5000 0.0000
Bi 0.2299 0.1250 0.6049
Bi 0.3750 0.7701 0.8951
Bi 0.5201 0.6250 0.3951
Bi 0.8750 0.4799 0.1049
CELL_PARAMETERS angstrom
-3.8126 3.8126 6.1397
3.8126 -3.8126 6.1397
3.8126 3.8126 -6.1397
! Energy relative to the elements in meV per atom: 501.6
! Space group: I-42d
! Calculated density in Mg/m³: 5.9

# 3
! K3TcBi | Alexandria via LeMat-Bulk | GGA-PBEsol | relaxed; values from VASP
&SYSTEM
  ibrav = 0, nat = 5, ntyp = 3
/
ATOMIC_SPECIES
K 39.10 K.upf
Tc 98.00 Tc.upf
Bi 208.98 Bi.upf
ATOMIC_POSITIONS crystal
K 0.0000 0.0000 0.5000
K 0.0000 0.5000 0.0000
K 0.5000 0.0000 0.0000
Tc 0.5000 0.5000 0.5000
Bi 0.0000 0.0000 0.0000
CELL_PARAMETERS angstrom
6.6500 0.0000 0.0000
0.0000 6.6500 0.0000
0.0000 0.0000 6.6500
! Energy relative to the elements in meV per atom: 1210.6
! Space group: Pm-3m
! Calculated density in Mg/m³: 2.4

# 4
! KBiTe2 | Alexandria via LeMat-Bulk | GGA-PBEsol | relaxed; values from VASP
&SYSTEM
  ibrav = 0, nat = 8, ntyp = 3
/
ATOMIC_SPECIES
K 39.10 K.upf
Bi 208.98 Bi.upf
Te 127.60 Te.upf
ATOMIC_POSITIONS crystal
K 0.0000 0.0000 0.0000
K 0.7500 0.2500 0.5000
Bi 0.2500 0.7500 0.5000
Bi 0.5000 0.5000 0.0000
Te 0.1689 0.6250 0.0439
Te 0.3750 0.4189 0.5439
Te 0.5811 0.1250 0.9561
Te 0.8750 0.8311 0.4561
CELL_PARAMETERS angstrom
-4.2188 4.2188 4.8626
4.2188 -4.2188 4.8626
4.2188 4.2188 -4.8626
! Formation energy without anion corrections in eV/atom: -0.382
! Space group: I-42d
! Calculated density in Mg/m³: 4.8

Which value of calculated density does entry 3 give? 2.4 Mg/m³

Which of these has the highest calculated density? KSrBi2

calculated density of number 4 (KBiTe2)? 4.8 Mg/m³